VASP calculation (PBE) on a relaxed structure of K2CuHgCl6.

Values from the calculation:
V = 28.2 Å³ per atom
ΔE_f (raw) = -1.118 eV per atom
crystal system = monoclinic

Unit cell a=7.639 b=7.239 c=12.454 alpha=90.00 beta=124.97 gamma=90.00
Space group P2_1/c (No. 14)
Unique sites:
K 0.244 0.041 0.247 x4
Cu 0.000 0.000 0.500 x2
Hg 0.500 0.000 0.000 x2
Cl 0.133 0.031 0.718 x4
Cl 0.220 0.747 0.548 x4
Cl 0.365 0.234 0.543 x4


VASP calculation (PBE) on a relaxed structure of ScZn2I8.

Values from the calculation:
V = 45.5 Å³ per atom
ΔE_f (raw) = -0.703 eV per atom
crystal system = monoclinic

Unit cell a=11.478 b=12.836 c=6.811 alpha=90.00 beta=93.91 gamma=90.00
Space group C2/m (No. 12)
Unique sites:
Sc 0.000 0.000 0.000 x2
Zn 0.228 0.000 0.648 x4
I 0.044 0.500 0.260 x4
I 0.111 0.161 0.778 x8
I 0.213 0.000 0.260 x4


VASP calculation (PBE) on a relaxed structure of BePbBr2.

Values from the calculation:
V = 28.1 Å³ per atom
ΔE_f (raw) = -0.357 eV per atom
crystal system = monoclinic
ΔE to the lowest computed polymorph = 0.069 eV/atom

Unit cell a=5.635 b=3.471 c=5.925 alpha=90.00 beta=104.34 gamma=90.00
Space group Pm (No. 6)
Unique sites:
Be 0.000 0.000 0.000 x1
Pb 0.354 0.500 0.338 x1
Br 0.047 0.000 0.652 x1
Br 0.737 0.500 0.019 x1


VASP calculation (PBE) on a relaxed structure of LiTcO2.

Values from the calculation:
V = 11.3 Å³ per atom
ΔE_f (raw) = -1.188 eV per atom
crystal system = tetragonal
ΔE to the lowest computed polymorph = 0.231 eV/atom

Unit cell a=4.811 b=4.811 c=7.780 alpha=90.00 beta=90.00 gamma=90.00
Space group I-42d (No. 122)
Unique sites:
Li 0.000 0.000 0.000 x4
Tc 0.000 0.000 0.500 x4
O 0.244 0.250 0.125 x8


VASP calculation (PBE) on a relaxed structure of YTi2Ga6.

Values from the calculation:
V = 18.7 Å³ per atom
formation energy from the elements = -0.375 eV/atom
crystal system = orthorhombic

Unit cell a=4.075 b=6.661 c=12.370 alpha=90.00 beta=90.00 gamma=90.00
Space group Immm (No. 71)
Unique sites:
Y 0.000 0.000 0.000 x2
Ti 0.000 0.500 0.116 x4
Ga 0.000 0.183 0.500 x4
Ga 0.000 0.296 0.307 x8


VASP calculation (PBE) on a relaxed structure of Nd2PuTe4.

Values from the calculation:
V = 35.2 Å³ per atom
ΔE_f (raw) = -1.283 eV per atom
crystal system = orthorhombic
ΔE to the lowest computed polymorph = 0.059 eV/atom

Unit cell a=4.399 b=14.711 c=15.250 alpha=90.00 beta=90.00 gamma=90.00
Space group Cmcm (No. 63)
Unique sites:
Nd 0.000 0.134 0.069 x8
Pu 0.000 0.379 0.250 x4
Te 0.000 0.035 0.250 x4
Te 0.000 0.223 0.625 x8
Te 0.000 0.500 0.000 x4


What is the V in the third record? 28.1 Å³ per atom